Below is an optimized crystal structure of Ac2Zn2GaPd5, with properties calculated at the PBE level.

Structure (POSCAR):
```
Ac2Zn2GaPd5
1.0
3.7757 0.0000 0.0000
0.0000 10.2139 0.0000
0.0000 0.0000 10.2139
Pd Zn Ac Ga
10 4 4 2
direct
0.5000 0.7967 0.9426 Pd
0.5000 0.0574 0.7967 Pd
0.5000 0.9426 0.2033 Pd
0.5000 0.7033 0.4426 Pd
0.5000 0.2033 0.0574 Pd
0.5000 0.4426 0.2967 Pd
0.5000 0.2967 0.5574 Pd
0.5000 0.0000 0.5000 Pd
0.5000 0.5000 0.0000 Pd
0.5000 0.5574 0.7033 Pd
0.0000 0.1175 0.6175 Zn
0.0000 0.6175 0.8825 Zn
0.0000 0.3825 0.1175 Zn
0.0000 0.8825 0.3825 Zn
0.0000 0.3197 0.8197 Ac
0.0000 0.6803 0.1803 Ac
0.0000 0.1803 0.3197 Ac
0.0000 0.8197 0.6803 Ac
0.0000 0.0000 0.0000 Ga
0.0000 0.5000 0.5000 Ga
```

Crystal system: tetragonal
Space group: P4/mbm, No. 127
Energy of formation (kJ per mole of atoms): -57.70

***

Below is an optimized crystal structure of K12PbAu6, with properties calculated at the PBE level.

Structure (POSCAR):
```
K12PbAu6
1.0
-5.2277 8.4829 -1.4640
-0.7197 -5.8399 -8.1737
-3.7237 -4.9052 7.9690
Au Pb K
6 1 12
direct
0.5000 0.8769 0.3769 Au
0.1231 0.6231 0.5000 Au
0.6231 0.5000 0.1231 Au
0.3769 0.5000 0.8769 Au
0.5000 0.1231 0.6231 Au
0.8769 0.3769 0.5000 Au
0.0000 0.0000 0.0000 Pb
0.1758 0.7001 0.8759 K
0.2999 0.1241 0.8242 K
0.2999 0.4757 0.1758 K
0.1758 0.2999 0.4757 K
0.8242 0.2999 0.1241 K
0.7001 0.5243 0.8242 K
0.8242 0.7001 0.5243 K
0.8759 0.1758 0.7001 K
0.1241 0.8242 0.2999 K
0.5243 0.8242 0.7001 K
0.7001 0.8759 0.1758 K
0.4757 0.1758 0.2999 K
```

Crystal system: cubic
Space group: Im-3, No. 204
Energy of formation (kJ per mole of atoms): -21.67